Record 1
Density functional theory data (PBE) for Na3Cd3Hg5 after structural relaxation.

a b c (Å): 3.3112 10.4103 10.4103
angles (deg): 120.00 90.00 90.00
Last column: nearest neighbours and their distance in Å.
Fractional coordinates of all 11 atoms:
Hg 0.5000 0.6667 0.3333  5 Hg 3.31-3.47, 6 Na 3.53
Hg 0.5000 0.3333 0.6667  5 Hg 3.31-3.47, 6 Na 3.53
Hg 0.5000 0.3339 0.0000  2 Cd 3.01, 2 Na 3.04, 2 Hg 3.31
Hg 0.5000 0.6661 0.6661  2 Cd 3.01, 2 Na 3.04, 2 Hg 3.31
Hg 0.5000 0.0000 0.3339  2 Cd 3.01, 2 Na 3.04, 2 Hg 3.31
Na 0.0000 0.4207 0.4207  2 Hg 3.04, 2 Cd 3.12, 2 Na 3.31
Na 0.0000 0.5793 0.0000  2 Hg 3.04, 2 Cd 3.12, 2 Na 3.31
Na 0.0000 0.0000 0.5793  2 Hg 3.04, 2 Cd 3.12, 2 Na 3.31
Cd 0.5000 0.0000 0.8330  2 Hg 3.01, 4 Cd 3.01-3.31, 2 Na 3.12
Cd 0.5000 0.1670 0.1670  2 Hg 3.01, 4 Cd 3.01-3.31, 2 Na 3.12
Cd 0.5000 0.8330 0.0000  2 Hg 3.01, 4 Cd 3.01-3.31, 2 Na 3.12

***

Record 2
Density functional theory data (PBE) for Na6CdHg after structural relaxation.

a b c (Å): 4.9007 4.9007 9.8130
angles (deg): 90.00 90.00 90.00
Last column: nearest neighbours and their distance in Å.
Fractional coordinates of all 8 atoms:
Na 0.0000 0.5000 0.2544  2 Hg 3.44, 8 Na 3.44-3.50, 2 Cd 3.50
Na 0.5000 0.5000 0.0000  4 Cd 3.47, 8 Na 3.50
Na 0.5000 0.0000 0.7456  2 Hg 3.44, 8 Na 3.44-3.50, 2 Cd 3.50
Na 0.0000 0.5000 0.7456  8 Na 3.44-3.50, 2 Hg 3.44, 2 Cd 3.50
Na 0.5000 0.0000 0.2544  8 Na 3.44-3.50, 2 Hg 3.44, 2 Cd 3.50
Na 0.5000 0.5000 0.5000  8 Na 3.44, 4 Hg 3.47
Cd 0.0000 0.0000 0.0000  12 Na 3.47-3.50
Hg 0.0000 0.0000 0.5000  12 Na 3.44-3.47

***

Record 3
Density functional theory data (PBE) for Na2CdHg9 after structural relaxation.

a b c (Å): 4.7069 4.7069 14.0088
angles (deg): 90.00 90.00 90.00
Last column: nearest neighbours and their distance in Å.
Fractional coordinates of all 12 atoms:
Na 0.0000 0.0000 0.6683  12 Hg 3.30-3.33
Na 0.0000 0.0000 0.3317  12 Hg 3.30-3.33
Hg 0.5000 0.0000 0.8333  2 Na 3.30, 8 Hg 3.30-3.33, 2 Cd 3.32
Hg 0.0000 0.5000 0.1667  2 Na 3.30, 8 Hg 3.30-3.33, 2 Cd 3.32
Hg 0.0000 0.5000 0.5000  8 Hg 3.33, 4 Na 3.33
Hg 0.5000 0.0000 0.5000  8 Hg 3.33, 4 Na 3.33
Hg 0.5000 0.5000 0.6678  8 Hg 3.30-3.33, 4 Na 3.33
Hg 0.5000 0.0000 0.1667  2 Na 3.30, 8 Hg 3.30-3.33, 2 Cd 3.32
Hg 0.5000 0.5000 0.3322  8 Hg 3.30-3.33, 4 Na 3.33
Hg 0.5000 0.5000 0.0000  8 Hg 3.32, 4 Cd 3.33
Hg 0.0000 0.5000 0.8333  2 Na 3.30, 8 Hg 3.30-3.33, 2 Cd 3.32
Cd 0.0000 0.0000 0.0000  12 Hg 3.32-3.33

***

Number 1: VASP energy -8.96 eV/cell. Number 2: VASP energy -9.88 eV/cell. Number 3: VASP energy -7.67 eV/cell.